# 1
# Ca2YSc

A relaxed Ca2YSc crystal (PBE, Alexandria via LeMat-Bulk).

## Properties
For the energy of formation from the pure elements, the calculation gives 5.55 kcal/mol of atoms. The energy above the most stable polymorph in this dataset is 152 meV per atom. The calculation puts the spin magnetization at 0.000 μB per formula unit.

Cell lengths 5.736, 5.736, 5.736 Å; angles 60.00, 60.00, 60.00 degrees
Positions (direct):
Y: 0.500 0.500 0.500
Sc: 0.000 0.000 0.000
Ca: 0.250 0.250 0.250
Ca: 0.750 0.750 0.750



# 2
# Sn2HPb

A relaxed Sn2HPb crystal (PBE, Alexandria via LeMat-Bulk).

## Properties
The energy above the most stable polymorph in this dataset is 155 meV per atom. The calculation puts the spin magnetization at 0.000 μB per formula unit.

Cell lengths 5.153, 5.153, 5.153 Å; angles 60.00, 60.00, 60.00 degrees
Positions (direct):
Pb: 0.500 0.500 0.500
H: 0.000 0.000 0.000
Sn: 0.250 0.250 0.250
Sn: 0.750 0.750 0.750



# 3
# Sr2Li2Ga

A relaxed Sr2Li2Ga crystal (PBE, Alexandria via LeMat-Bulk).

## Properties
For the energy of formation from the pure elements, the calculation gives -1.08 kcal/mol of atoms. The energy above the most stable polymorph in this dataset is 121 meV per atom. The calculation puts the spin magnetization at 0.000 μB per formula unit.

Cell lengths 7.640, 7.640, 5.087 Å; angles 90.00, 90.00, 90.00 degrees
Positions (direct):
Sr: 0.192 0.692 0.500
Sr: 0.692 0.808 0.500
Sr: 0.808 0.308 0.500
Sr: 0.308 0.192 0.500
Ga: 0.000 0.000 0.000
Ga: 0.500 0.500 0.000
Li: 0.369 0.869 0.000
Li: 0.869 0.631 0.000
Li: 0.631 0.131 0.000
Li: 0.131 0.369 0.000



# 4
# Zr2CoBr

A relaxed Zr2CoBr crystal (PBE, Alexandria via LeMat-Bulk).

## Properties
The energy above the most stable polymorph in this dataset is 628 meV per atom. The value obtained for the formation energy (no corrections) is 0.16 eV/atom. The calculation puts the spin magnetization at 0.000 μB per formula unit.

Cell lengths 5.839, 5.839, 5.839 Å; angles 141.85, 141.85, 55.06 degrees
Positions (direct):
Br: 0.500 0.500 0.000
Co: 0.750 0.250 0.500
Zr: 0.000 0.000 0.000
Zr: 0.250 0.750 0.500



# 5
# Na4Ce3TeSe8

A relaxed Na4Ce3TeSe8 crystal (PBE, Alexandria via LeMat-Bulk).

## Properties
The value obtained for the formation energy (no corrections) is -1.31 eV/atom. The calculation puts the spin magnetization at 0.541 μB per formula unit.

Cell lengths 8.425, 8.385, 8.804 Å; angles 118.93, 118.59, 90.00 degrees
Positions (direct):
Na: 0.500 0.000 0.000
Na: 0.500 0.000 0.500
Na: 0.000 0.000 0.000
Na: 0.000 0.000 0.500
Ce: 0.500 0.500 0.000
Ce: 0.500 0.500 0.500
Ce: 0.000 0.500 0.500
Te: 0.000 0.500 0.000
Se: 0.225 0.717 0.967
Se: 0.283 0.764 0.566
Se: 0.265 0.269 0.531
Se: 0.742 0.717 0.967
Se: 0.258 0.283 0.033
Se: 0.735 0.731 0.469
Se: 0.717 0.236 0.434
Se: 0.775 0.283 0.033



# 6
# Ta2CS2

A relaxed Ta2CS2 crystal (PBE, Alexandria via LeMat-Bulk).

## Properties
The energy above the most stable polymorph in this dataset is 3 meV per atom. The value obtained for the formation energy (no corrections) is -0.93 eV/atom. The calculation puts the spin magnetization at 0.000 μB per formula unit.

Cell lengths 3.289, 3.289, 9.234 Å; angles 90.00, 90.00, 120.00 degrees
Positions (direct):
Ta: 0.667 0.333 0.872
Ta: 0.333 0.667 0.128
C: 0.000 0.000 0.000
S: 0.333 0.667 0.696
S: 0.667 0.333 0.304



no.,volume (Å³/f.u.)
1,133.5
2,96.8
3,148.4
4,75.4
5,455.8
6,86.5